An optimized crystal structure of BePW2, computed with GGA-PBEsol.

a = 4.1472 Å, b = 4.1472 Å, c = 4.1472 Å
α = 60.00°, β = 60.00°, γ = 60.00°
Sites, in units of the cell vectors:
P  0.0000  0.0000  0.0000
W  0.2500  0.2500  0.2500
W  0.7500  0.7500  0.7500
Be  0.5000  0.5000  0.5000

Properties
Energy relative to the elements   153 meV/atom
Fermi-level density of states   0.641 states/eV per atom
Space-group type   Fm-3m (225)
Raw total energy   -9.1984 eV/atom

---

An optimized crystal structure of Be2PW, computed with GGA-PBEsol.

a = 2.5718 Å, b = 2.5718 Å, c = 7.3065 Å
α = 90.00°, β = 90.00°, γ = 90.00°
Sites, in units of the cell vectors:
W  0.5000  0.5000  0.5000
P  0.5000  0.5000  0.0000
Be  0.0000  0.0000  0.2489
Be  0.0000  0.0000  0.7511

Properties
Energy relative to the elements   384 meV/atom
Fermi-level density of states   0.465 states/eV per atom
Space-group type   P4/mmm (123)
Raw total energy   -6.5159 eV/atom

---

> Look up the raw total energy of the second one.

-6.5159 eV/atom